! Na4Zr2TiC4O16 SCAN single point on PBEsol structure; values from VASP
! VASP energy   -11.087 eV per atom
! E_form (uncorrected)   -232.2 kJ per mole of atoms
&SYSTEM
  ibrav = 0, nat = 54, ntyp = 5
/
ATOMIC_SPECIES
O 16.00 O.upf
Zr 91.22 Zr.upf
Ti 47.87 Ti.upf
Na 22.99 Na.upf
C 12.01 C.upf
CELL_PARAMETERS angstrom
6.075 0.006 0.006
2.452 5.558 0.006
1.085 0.708 17.933
ATOMIC_POSITIONS crystal
O 0.388 0.052 0.128
O 0.656 0.271 0.364
O 0.271 0.656 0.864
O 0.983 0.744 0.738
O 0.097 0.808 0.445
O 0.172 0.789 0.321
O 0.640 0.632 0.760
O 0.948 0.612 0.372
O 0.943 0.576 0.133
O 0.828 0.211 0.679
O 0.279 0.410 0.963
O 0.576 0.943 0.633
O 0.808 0.097 0.945
O 0.612 0.948 0.872
O 0.744 0.983 0.238
O 0.789 0.172 0.821
O 0.192 0.903 0.055
O 0.410 0.279 0.463
O 0.903 0.192 0.555
O 0.590 0.721 0.537
O 0.360 0.368 0.240
O 0.256 0.017 0.762
O 0.424 0.057 0.367
O 0.729 0.344 0.136
O 0.017 0.256 0.262
O 0.057 0.424 0.867
O 0.721 0.590 0.037
O 0.344 0.729 0.636
O 0.052 0.388 0.628
O 0.632 0.640 0.260
O 0.211 0.828 0.179
O 0.368 0.360 0.740
Zr 0.004 0.380 0.752
Zr 0.620 0.996 0.748
Zr 0.380 0.004 0.252
Zr 0.996 0.620 0.248
Ti 0.307 0.693 0.750
Ti 0.693 0.307 0.250
Na 0.542 0.662 0.418
Na 0.662 0.542 0.918
Na 0.338 0.458 0.082
Na 0.041 0.216 0.434
Na 0.458 0.338 0.582
Na 0.216 0.041 0.934
Na 0.784 0.959 0.066
Na 0.959 0.784 0.566
C 0.741 0.071 0.883
C 0.797 0.503 0.101
C 0.203 0.497 0.899
C 0.503 0.797 0.601
C 0.259 0.929 0.117
C 0.497 0.203 0.399
C 0.071 0.741 0.383
C 0.929 0.259 0.617